Entry from Alexandria: a PBEsol-optimized structure of Li2Cd2Hg (meta-GGA SCAN).

Lattice parameters (Å, degrees): 3.2454 7.5855 7.5855 90.00 90.00 90.00
Closest atoms and distances in Å follow each position.
Sites, in units of the cell vectors:
Li  0.5000  0.1632  0.6632  6 Cd 2.71-2.79
Li  0.5000  0.6632  0.8368  6 Cd 2.71-2.79
Li  0.5000  0.8368  0.3368  6 Cd 2.71-2.79
Li  0.5000  0.3368  0.1632  6 Cd 2.71-2.79
Hg  0.0000  0.0000  0.0000  4 Cd 2.95, 2 Hg 3.25, 8 Li 3.27
Hg  0.0000  0.5000  0.5000  4 Cd 2.95, 2 Hg 3.25, 8 Li 3.27
Cd  0.0000  0.3655  0.8655  6 Li 2.71-2.79, 1 Cd 2.88, 2 Hg 2.95
Cd  0.0000  0.8655  0.6345  6 Li 2.71-2.79, 1 Cd 2.88, 2 Hg 2.95
Cd  0.0000  0.6345  0.1345  6 Li 2.71-2.79, 1 Cd 2.88, 2 Hg 2.95
Cd  0.0000  0.1345  0.3655  6 Li 2.71-2.79, 1 Cd 2.88, 2 Hg 2.95

Output
Crystal system: tetragonal
DFT formation energy (eV per atom): -0.24
Space-group type: P4/mbm (127)

=====

Entry from Alexandria: a PBEsol-optimized structure of RbBiS2Br (meta-GGA SCAN).

Lattice parameters (Å, degrees): 5.2896 5.2896 5.4101 90.00 90.00 90.00
Closest atoms and distances in Å follow each position.
Sites, in units of the cell vectors:
S  0.0000  0.5000  0.0000  2 Br 2.64
S  0.5000  0.0000  0.0000  2 Br 2.64
Br  0.0000  0.0000  0.0000  4 S 2.64, 2 Bi 2.71
Bi  0.0000  0.0000  0.5000  2 Br 2.71
Rb  0.5000  0.5000  0.5000  4 Bi 3.74, 8 S 3.78

Output
Crystal system: tetragonal
Space-group type: P4/mmm (123)
E_form (uncorrected) (meV per atom): 427

=====

Entry from Alexandria: a PBEsol-optimized structure of ScTl2Cl (meta-GGA SCAN).

Lattice parameters (Å, degrees): 3.1845 4.1254 7.9309 105.08 101.58 90.00
Closest atoms and distances in Å follow each position.
Sites, in units of the cell vectors:
Sc  0.0000  0.5000  0.0000  4 Cl 2.61
Tl  0.6846  0.6846  0.3692  6 Tl 3.18-3.26, 2 Sc 3.19, 2 Cl 3.45
Tl  0.3154  0.3154  0.6308  6 Tl 3.18-3.26, 2 Sc 3.19, 2 Cl 3.45
Cl  0.5000  0.0000  0.0000  4 Sc 2.61

Output
Crystal system: orthorhombic
Space-group type: Immm (71)
E_form (uncorrected) (meV per atom): -645

=====

Entry from Alexandria: a PBEsol-optimized structure of Ca3Ga3N5 (meta-GGA SCAN).

Lattice parameters (Å, degrees): 5.8428 6.8183 8.3667 107.36 105.94 95.18
Closest atoms and distances in Å follow each position.
Sites, in units of the cell vectors:
Ca  0.8173  0.4125  0.6066  4 N 2.33-2.49
Ca  0.1827  0.5875  0.3934  4 N 2.33-2.49
Ca  0.6646  0.8662  0.8812  4 N 2.31-2.54
Ca  0.3354  0.1338  0.1188  4 N 2.31-2.54
Ca  0.6541  0.6397  0.1958  3 N 2.38-2.60
Ca  0.3459  0.3603  0.8042  3 N 2.38-2.60
Ga  0.9047  0.3120  0.9689  4 N 1.90-2.01
Ga  0.0953  0.6880  0.0311  4 N 1.90-2.01
Ga  0.7134  0.9446  0.5642  4 N 1.93-2.02
Ga  0.2866  0.0554  0.4358  4 N 1.93-2.02
Ga  0.1389  0.8658  0.7166  4 N 1.91-2.01
Ga  0.8611  0.1342  0.2834  4 N 1.91-2.01
N  0.9735  0.1028  0.7834  3 Ga 1.93-1.97
N  0.0265  0.8972  0.2166  3 Ga 1.93-1.97
N  0.8518  0.6961  0.5085  2 Ga 1.93-2.01
N  0.1482  0.3039  0.4915  2 Ga 1.93-2.01
N  0.7568  0.5289  0.8878  2 Ga 1.98-2.01
N  0.2432  0.4711  0.1122  2 Ga 1.98-2.01
N  0.3978  0.9326  0.6185  3 Ga 1.94-2.02
N  0.6022  0.0674  0.3815  3 Ga 1.94-2.02
N  0.2889  0.7683  0.9041  2 Ga 1.90-1.91
N  0.7111  0.2317  0.0959  2 Ga 1.90-1.91

Output
Crystal system: triclinic
Space-group type: P-1 (2)
E_form (uncorrected) (meV per atom): -851

=====

Entry from Alexandria: a PBEsol-optimized structure of Cs2ZnAsPt (meta-GGA SCAN).

Lattice parameters (Å, degrees): 4.7541 6.4189 6.4189 90.00 90.00 90.00
Closest atoms and distances in Å follow each position.
Sites, in units of the cell vectors:
Cs  0.0000  0.0000  0.5000  2 Pt 3.21
Cs  0.0000  0.5000  0.0000  2 Pt 3.21
As  0.5000  0.5000  0.5000  8 Cs 3.99
Zn  0.5000  0.0000  0.0000  2 Pt 2.38
Pt  0.0000  0.0000  0.0000  2 Zn 2.38

Output
Crystal system: tetragonal
DFT formation energy (eV per atom): 0.14
Space-group type: P4/mmm (123)

=====

Entry from Alexandria: a PBEsol-optimized structure of SrCo2Si (meta-GGA SCAN).

Lattice parameters (Å, degrees): 2.8858 2.8853 6.9690 90.00 90.01 90.00
Closest atoms and distances in Å follow each position.
Sites, in units of the cell vectors:
Co  0.9995  0.0000  0.8224  4 Si 2.39, 1 Co 2.48
Co  0.0005  0.0000  0.1776  4 Si 2.39, 1 Co 2.48
Si  0.5000  0.5000  0.0000  8 Co 2.39
Sr  0.5000  0.5000  0.5000  4 Sr 2.89, 8 Co 3.03-3.04

Output
Crystal system: tetragonal
Space-group type: P4/mmm (123)
E_form (uncorrected) (meV per atom): 289

=====

Entry from Alexandria: a PBEsol-optimized structure of SrZn2GeS (meta-GGA SCAN).

Lattice parameters (Å, degrees): 4.7251 4.7251 5.2820 90.00 90.00 90.00
Closest atoms and distances in Å follow each position.
Sites, in units of the cell vectors:
S  0.0000  0.0000  0.5000  2 Ge 2.64
Sr  0.5000  0.5000  0.5000  4 S 3.34, 8 Zn 3.54
Ge  0.0000  0.0000  0.0000  4 Zn 2.36, 2 S 2.64
Zn  0.0000  0.5000  0.0000  2 Ge 2.36
Zn  0.5000  0.0000  0.0000  2 Ge 2.36

Output
Crystal system: tetragonal
Space-group type: P4/mmm (123)
E_form (uncorrected) (meV per atom): -280

=====

Entry from Alexandria: a PBEsol-optimized structure of As2PSeI (meta-GGA SCAN).

Lattice parameters (Å, degrees): 4.7361 4.8924 4.8924 90.00 90.00 90.00
Closest atoms and distances in Å follow each position.
Sites, in units of the cell vectors:
I  0.5000  0.5000  0.5000  8 As 3.40, 4 Se 3.46
P  0.0000  0.0000  0.0000  2 Se 2.37, 4 As 2.45
As  0.0000  0.0000  0.5000  2 P 2.45
As  0.0000  0.5000  0.0000  2 P 2.45
Se  0.5000  0.0000  0.0000  2 P 2.37

Output
Crystal system: tetragonal
Space-group type: P4/mmm (123)
E_form (uncorrected) (meV per atom): 729

=====

Number 1: V 93.4 Å³/f.u., calculated density 7.813 g cm⁻³, electronic total energy -26.992 eV/atom. Number 2: V 151.4 Å³/f.u., calculated density 4.810 g cm⁻³, electronic total energy -27.180 eV/atom. Number 3: V 98.4 Å³/f.u., calculated density 8.254 g cm⁻³, electronic total energy -42.378 eV/atom. Number 4: V 150.2 Å³/f.u., calculated density 4.415 g cm⁻³, electronic total energy -12.167 eV/atom. Number 5: V 195.9 Å³/f.u., calculated density 5.097 g cm⁻³, electronic total energy -35.765 eV/atom. Number 6: V 58.0 Å³/f.u., calculated density 6.684 g cm⁻³, electronic total energy -16.436 eV/atom. Number 7: V 117.9 Å³/f.u., calculated density 4.550 g cm⁻³, electronic total energy -15.884 eV/atom. Number 8: V 113.4 Å³/f.u., calculated density 5.664 g cm⁻³, electronic total energy -20.791 eV/atom.